Density functional theory data (PBE) for crystalline CaCl5 at its relaxed geometry.

For the raw formation energy, the calculation gives -1.044 eV/atom. The calculation puts the density at 1.88 g/cm³. The final energy comes out at -17.501 eV/cell.

abc: 4.2388 5.4010 8.6705
angles: 84.74 78.29 82.68
Last column: nearest neighbours and their distance in Å.
Space group P1 (No. 1)
Symmetry-distinct sites (fractional):
Ca 0.0000 0.0000 0.0000 [1 per cell]  6 Cl 2.70-2.81
Cl 0.4066 0.0153 0.2151 [1 per cell]  1 Cl 2.62, 2 Ca 2.80-2.81
Cl 0.4903 0.3935 0.6066 [1 per cell]  1 Cl 2.07
Cl 0.5063 0.6079 0.3951 [1 per cell]  1 Cl 2.07
Cl 0.5936 0.9843 0.7845 [1 per cell]  1 Cl 2.62, 2 Ca 2.80-2.81
Cl 0.9993 0.5002 0.9990 [1 per cell]  2 Ca 2.70



Density functional theory data (PBE) for crystalline CaCl3 at its relaxed geometry.

For the raw formation energy, the calculation gives -1.481 eV/atom. The calculation puts the density at 1.84 g/cm³. The final energy comes out at -40.401 eV/cell.

abc: 4.2656 4.2656 25.2230
angles: 90.00 90.00 120.00
Last column: nearest neighbours and their distance in Å.
Space group R-3m (No. 166, hexagonal axes)
Symmetry-distinct sites (fractional):
Ca 0.0000 0.0000 0.0000 [3 per cell]  6 Cl 2.79
Cl 0.0000 0.0000 0.3850 [6 per cell]  3 Ca 2.79, 1 Cl 2.90
Cl 0.0000 0.0000 0.5000 [3 per cell]  2 Cl 2.90



Density functional theory data (PBE) for crystalline Ca2Cl at its relaxed geometry.

For the raw formation energy, the calculation gives -1.017 eV/atom. The calculation puts the density at 1.81 g/cm³. The final energy comes out at -17.804 eV/cell.

abc: 3.7128 3.9941 14.3384
angles: 90.00 90.00 90.00
Last column: nearest neighbours and their distance in Å.
Space group Immm (No. 71)
Symmetry-distinct sites (fractional):
Ca 0.0000 0.0000 0.1546 [4 per cell]  2 Cl 2.89
Cl 0.0000 0.5000 0.5000 [2 per cell]  4 Ca 2.89



Density functional theory data (PBE) for crystalline Ca2Cl at its relaxed geometry.

For the raw formation energy, the calculation gives -1.026 eV/atom. The calculation puts the density at 1.85 g/cm³. The final energy comes out at -35.707 eV/cell.

abc: 14.9613 3.7523 9.3715
angles: 90.00 128.08 90.00
Last column: nearest neighbours and their distance in Å.
Space group C2/m (No. 12)
Symmetry-distinct sites (fractional):
Ca 0.0215 0.0000 0.3302 [4 per cell]  2 Cl 2.88
Ca 0.2475 0.5000 0.8165 [4 per cell]  2 Cl 2.93
Cl 0.1407 0.5000 0.2686 [4 per cell]  4 Ca 2.88-2.93



Density functional theory data (PBE) for crystalline CaCl3 at its relaxed geometry.

For the raw formation energy, the calculation gives -1.501 eV/atom. The calculation puts the density at 2.28 g/cm³. The final energy comes out at -27.094 eV/cell.

abc: 3.9447 9.4926 5.6891
angles: 90.00 90.00 90.00
Last column: nearest neighbours and their distance in Å.
Space group Imm2 (No. 44)
Symmetry-distinct sites (fractional):
Ca 0.0000 0.0000 0.0000 [2 per cell]  6 Cl 2.78-2.80
Cl 0.0000 0.3218 0.3154 [4 per cell]  2 Ca 2.80
Cl 0.0000 0.5000 0.8434 [2 per cell]  2 Ca 2.78



Density functional theory data (PBE) for crystalline CaCl at its relaxed geometry.

For the raw formation energy, the calculation gives -1.551 eV/atom. The calculation puts the density at 1.65 g/cm³. The final energy comes out at -41.705 eV/cell.

abc: 11.0456 11.0456 4.3148
angles: 90.00 90.00 120.00
Last column: nearest neighbours and their distance in Å.
Space group P6_3/m (No. 176)
Symmetry-distinct sites (fractional):
Ca 0.1561 0.6769 0.2500 [6 per cell]  4 Cl 2.84-2.97
Cl 0.0282 0.3677 0.2500 [6 per cell]  4 Ca 2.84-2.97